[1]
VASP calculation (GGA-PBE) on crystalline LaDyTlAg at its relaxed geometry.

CIF file:
```
data_LaDyTlAg
_space_group_name_H-M_alt 'P 4 m m'
_space_group_IT_number 99
_cell_length_a 3.7234
_cell_length_b 3.7234
_cell_length_c 7.9837
_cell_angle_alpha 90.00
_cell_angle_beta 90.00
_cell_angle_gamma 90.00
loop_
_space_group_symop_operation_xyz
'x,y,z'
'-y,x,z'
'-x,-y,z'
'y,-x,z'
'-x,y,z'
'y,x,z'
'x,-y,z'
'-y,-x,z'
loop_
_atom_site_label
_atom_site_type_symbol
_atom_site_fract_x
_atom_site_fract_y
_atom_site_fract_z
La1 La 0.0000 0.0000 0.0000
Dy1 Dy 0.0000 0.0000 0.5288
Tl1 Tl 0.5000 0.5000 0.2778
Ag1 Ag 0.5000 0.5000 0.7300
```

Output
Its formation energy is -1.4 eV/f.u.

***

[2]
VASP calculation (GGA-PBE) on crystalline Sc2TaTc at its relaxed geometry.

CIF file:
```
data_Sc2TaTc
_space_group_name_H-M_alt 'I -4 m 2'
_space_group_IT_number 119
_space_group_name_Hall 'I -4 -2'
_cell_length_a 4.7138
_cell_length_b 4.7138
_cell_length_c 6.6469
_cell_angle_alpha 90.00
_cell_angle_beta 90.00
_cell_angle_gamma 90.00
loop_
_atom_site_label
_atom_site_type_symbol
_atom_site_fract_x
_atom_site_fract_y
_atom_site_fract_z
Sc1 Sc 0.0000 0.0000 0.0000
Sc2 Sc 0.0000 0.5000 0.2500
Ta1 Ta 0.0000 0.5000 0.7500
Tc1 Tc 0.0000 0.0000 0.5000
```

Output
Its formation energy is -0.1 eV/f.u.

***

[3]
VASP calculation (GGA-PBE) on crystalline Ac5Pm4Cd at its relaxed geometry.

CIF file:
```
data_Ac5Pm4Cd
_space_group_name_H-M_alt 'P 4/m m m'
_space_group_IT_number 123
_space_group_name_Hall '-P 4 2'
_cell_length_a 3.9148
_cell_length_b 3.9148
_cell_length_c 25.1344
_cell_angle_alpha 90.00
_cell_angle_beta 90.00
_cell_angle_gamma 90.00
loop_
_atom_site_label
_atom_site_type_symbol
_atom_site_fract_x
_atom_site_fract_y
_atom_site_fract_z
Ac1 Ac 0.0000 0.0000 0.0000
Ac2 Ac 0.0000 0.0000 0.2062
Ac3 Ac 0.0000 0.0000 0.4143
Pm1 Pm 0.5000 0.5000 0.1030
Pm2 Pm 0.5000 0.5000 0.3088
Cd1 Cd 0.5000 0.5000 0.5000
```

Output
Its formation energy is -0.3 eV/f.u.

***

[4]
VASP calculation (GGA-PBE) on crystalline Sm2Ho3TmTe6 at its relaxed geometry.

CIF file:
```
data_Sm2Ho3TmTe6
_space_group_name_H-M_alt 'C 1 2/m 1'
_space_group_IT_number 12
_cell_length_a 19.0639
_cell_length_b 4.3342
_cell_length_c 8.7843
_cell_angle_alpha 90.00
_cell_angle_beta 103.03
_cell_angle_gamma 90.00
loop_
_space_group_symop_operation_xyz
'x,y,z'
'-x,-y,-z'
'-x,y,-z'
'x,-y,z'
'x+1/2,y+1/2,z'
'-x+1/2,-y+1/2,-z'
'-x+1/2,y+1/2,-z'
'x+1/2,-y+1/2,z'
loop_
_atom_site_label
_atom_site_type_symbol
_atom_site_fract_x
_atom_site_fract_y
_atom_site_fract_z
Sm1 Sm 0.1714 0.0000 0.3377
Ho1 Ho 0.0000 0.5000 0.5000
Ho2 Ho 0.1734 0.0000 0.8350
Tm1 Tm 0.0000 0.5000 0.0000
Te1 Te 0.0029 0.0000 0.7541
Te2 Te 0.1625 0.5000 0.0750
Te3 Te 0.1621 0.5000 0.5878
```

Output
The formation energy from raw total energies is -1.281 eV per atom.

***

[5]
VASP calculation (GGA-PBE) on crystalline Cu2GeP2H10O14 at its relaxed geometry.

CIF file:
```
data_Cu2GeP2H10O14
_space_group_name_H-M_alt 'P 1 21/c 1'
_space_group_IT_number 14
_cell_length_a 5.1365
_cell_length_b 8.6671
_cell_length_c 13.4480
_cell_angle_alpha 90.00
_cell_angle_beta 111.32
_cell_angle_gamma 90.00
loop_
_space_group_symop_operation_xyz
'x,y,z'
'-x,-y,-z'
'-x,y+1/2,-z+1/2'
'x,-y+1/2,z+1/2'
loop_
_atom_site_label
_atom_site_type_symbol
_atom_site_fract_x
_atom_site_fract_y
_atom_site_fract_z
Cu1 Cu 0.0310 0.0542 0.2652
Ge1 Ge 0.0000 0.0000 0.0000
P1 P 0.3977 0.1715 0.9004
H1 H 0.0087 0.1439 0.4353
H2 H 0.2617 0.7316 0.8898
H3 H 0.2975 0.5901 0.1315
H4 H 0.3586 0.0383 0.1681
H5 H 0.4567 0.6986 0.8268
O1 O 0.0966 0.5598 0.1122
O2 O 0.1560 0.0672 0.1423
O3 O 0.1930 0.1688 0.9627
O4 O 0.2627 0.6904 0.8216
O5 O 0.2990 0.6473 0.5164
O6 O 0.3328 0.0428 0.8158
O7 O 0.3836 0.1648 0.3531
```

Output
As for the total energy: -5.6803 eV per atom.

***

[6]
VASP calculation (GGA-PBE) on crystalline Hg2POs at its relaxed geometry.

CIF file:
```
data_Hg2POs
_space_group_name_H-M_alt 'P 1 m 1'
_space_group_IT_number 6
_cell_length_a 4.4029
_cell_length_b 3.6054
_cell_length_c 5.4370
_cell_angle_alpha 90.00
_cell_angle_beta 113.65
_cell_angle_gamma 90.00
loop_
_space_group_symop_operation_xyz
'x,y,z'
'x,-y,z'
loop_
_atom_site_label
_atom_site_type_symbol
_atom_site_fract_x
_atom_site_fract_y
_atom_site_fract_z
Hg1 Hg 0.0000 0.0000 0.0000
Hg2 Hg 0.3127 0.5000 0.6062
P1 P 0.7245 0.0000 0.4330
Os1 Os 0.5804 0.5000 0.1689
```

Output
Its formation energy is 1.6 eV/f.u.